Material: CrRe2AsH
Method: DFT, PBE-GGA
State: optimized geometry

Output
Volume   67.96 Å³/f.u.
E_tot   -0.269 Ha/atom

Cell lengths 4.747, 4.747, 3.015 Å; angles 90.00, 90.00, 90.00 degrees
Space group P4/mmm (No. 123)
Asymmetric unit:
Cr 0.000 0.000 0.000
Re 0.000 0.500 0.500
As 0.500 0.500 0.500
H 0.500 0.500 0.000